Crystalline TlNiAsSe2 at its relaxed geometry, computed with PBE.

Cell: 5.1585 5.1585 4.3723 Å, 90.00 90.00 90.00°
Fractional coordinates of all 5 atoms:
1 Tl 0.0000 0.0000 0.0000
2 Ni 0.5000 0.5000 0.5000
3 As 0.5000 0.5000 0.0000
4 Se 0.0000 0.5000 0.5000
5 Se 0.5000 0.0000 0.5000

Output
raw total energy: -3.802 eV/atom
total magnetization: 0.00 μB/atom
D(E_F): 1.058 states/eV per atom
ΔE to the lowest computed polymorph: 0 meV/atom
space-group type: P4/mmm (123)
E_form (uncorrected): 0.8 eV/f.u.
density: 7.1 g/cm3